1.
DFT (PBE-GGA) results for a relaxed structure of Tm3Se.

Cell: 3.7539 6.1621 9.4068 Å, 90.00 90.00 107.73°
Element x y z (fractional)
Tm 0.4320 0.8640 0.7500
Tm 0.5680 0.1360 0.2500
Tm 0.1365 0.2730 0.9538
Tm 0.8635 0.7270 0.0462
Tm 0.8635 0.7270 0.4538
Tm 0.1365 0.2730 0.5462
Se 0.7372 0.4744 0.7500
Se 0.2628 0.5256 0.2500

Summary:
- VASP energy (eV/atom) = -4.9981
- uncorrected formation energy (eV per atom) = -0.773
- excess energy over the best structure of this formula in the dataset (eV/atom) = 0.000
- ρ (kg/m3) = 9386

2.
DFT (PBE-GGA) results for a relaxed structure of Ce3Si6PdPt2.

Cell: 5.7980 5.7980 7.9226 Å, 90.00 90.00 120.00°
Element x y z (fractional)
Ce 0.3333 0.6667 0.6420
Ce 0.6667 0.3333 0.3580
Ce 0.0000 0.0000 0.0000
Si 0.6169 0.8084 0.2944
Si 0.1916 0.3831 0.2944
Si 0.1916 0.8084 0.2944
Si 0.8084 0.6169 0.7056
Si 0.3831 0.1916 0.7056
Si 0.8084 0.1916 0.7056
Pd 0.0000 0.0000 0.5000
Pt 0.6667 0.3333 0.9629
Pt 0.3333 0.6667 0.0371

Summary:
- VASP energy (eV/atom) = -6.1694
- uncorrected formation energy (eV per atom) = -0.535
- ρ (kg/m3) = 7814

3.
DFT (PBE-GGA) results for a relaxed structure of Er2BHPt6.

Cell: 5.8039 6.2243 6.2690 Å, 124.69 117.51 89.87°
Element x y z (fractional)
Er 0.7347 0.2682 0.4688
Er 0.2501 0.7465 0.4989
B 0.9950 0.0088 0.9904
H 0.5852 0.4143 0.1754
Pt 0.7462 0.7534 0.9937
Pt 0.7387 0.7843 0.4761
Pt 0.2149 0.2598 0.9513
Pt 0.7362 0.2607 0.9529
Pt 0.2491 0.2543 0.4971
Pt 0.2491 0.7536 0.9935

Summary:
- VASP energy (eV/atom) = -6.3915
- ρ (kg/m3) = 16328

4.
DFT (PBE-GGA) results for a relaxed structure of SmDySi3.

Cell: 3.9611 4.2053 12.4905 Å, 99.69 90.00 90.00°
Element x y z (fractional)
Sm 0.2500 0.0701 0.1403
Sm 0.7500 0.9299 0.8597
Dy 0.2500 0.7972 0.5943
Dy 0.7500 0.2028 0.4057
Si 0.2500 0.3799 0.7598
Si 0.7500 0.6201 0.2402
Si 0.2500 0.4749 0.9498
Si 0.7500 0.5251 0.0502
Si 0.7500 0.3218 0.6436
Si 0.2500 0.6782 0.3564

Summary:
- VASP energy (eV/atom) = -5.8189
- uncorrected formation energy (eV per atom) = -0.701
- ρ (kg/m3) = 6430

5.
DFT (PBE-GGA) results for a relaxed structure of Pm3NdTh4S8.

Cell: 8.0099 8.1483 8.0086 Å, 119.43 120.01 90.00°
Element x y z (fractional)
Pm 0.5000 0.5000 0.0000
Pm 0.5000 0.5000 0.5000
Pm 0.0000 0.5000 0.5000
Nd 0.0000 0.5000 0.0000
Th 0.5000 0.0000 0.0000
Th 0.5000 0.0000 0.5000
Th 0.0000 0.0000 0.0000
Th 0.0000 0.0000 0.5000
S 0.2498 0.7474 0.9976
S 0.2498 0.7474 0.4996
S 0.2512 0.2536 0.5024
S 0.7478 0.7474 0.9976
S 0.2522 0.2526 0.0024
S 0.7488 0.7464 0.4976
S 0.7502 0.2526 0.5004
S 0.7502 0.2526 0.0024

Summary:
- VASP energy (eV/atom) = -7.0389
- uncorrected formation energy (eV per atom) = -1.932
- ρ (kg/m3) = 7858

6.
DFT (PBE-GGA) results for a relaxed structure of CdTe2As.

Cell: 4.3279 6.7607 4.3297 Å, 108.69 90.00 108.67°
Element x y z (fractional)
As 0.2500 0.5000 0.2500
Te 0.0111 0.0223 0.0111
Te 0.4889 0.9777 0.4889
Cd 0.7500 0.5000 0.7500

Summary:
- VASP energy (eV/atom) = -2.9087
- uncorrected formation energy (eV per atom) = 0.053
- excess energy over the best structure of this formula in the dataset (eV/atom) = 0.135
- ρ (kg/m3) = 6506